Entry 1:
! PBE CaCdGa2I, relaxed; values from VASP
! - E_form (uncorrected) (eV/atom) = 0.413
! - SG = P4/mmm
! - magnetization (μB/f.u.) = 0.0
&SYSTEM
  ibrav = 0, nat = 5, ntyp = 4
/
ATOMIC_SPECIES
Ca 40.08 Ca.upf
I 126.90 I.upf
Cd 112.41 Cd.upf
Ga 69.72 Ga.upf
CELL_PARAMETERS angstrom
-3.628 4.467 0.930
-0.526 -1.589 5.581
4.533 3.391 1.393
ATOMIC_POSITIONS angstrom
Ca 0.189 3.135 3.952
I 0.000 0.000 0.000
Cd -0.263 -0.794 2.791
Ga 2.266 1.696 0.696
Ga -1.814 2.234 0.465

Entry 2:
! PBE Ca4Cd2InGa, relaxed; values from VASP
! - formation enthalpy at 0 K (kJ/mol of formula units) = -322
! - SG = R-3m
! - magnetization (μB/f.u.) = 0.0
&SYSTEM
  ibrav = 0, nat = 8, ntyp = 4
/
ATOMIC_SPECIES
Ca 40.08 Ca.upf
Ga 69.72 Ga.upf
Cd 112.41 Cd.upf
In 114.82 In.upf
CELL_PARAMETERS angstrom
-1.196 2.853 4.397
-2.274 -2.412 4.234
6.782 -1.580 6.156
ATOMIC_POSITIONS angstrom
Ca 4.559 -1.201 8.593
Ga 1.656 -0.569 7.394
Ca -0.428 -0.220 9.888
Ca 3.740 -0.918 4.900
Ca -1.247 0.062 6.194
Cd 2.533 -0.864 11.111
In 0.000 0.000 0.000
Cd 0.779 -0.274 3.677

DOS(E_F) values (in states/eV/f.u.) by entry order: 3.34; 4.16.